28
Lattice="-1.344 6.108 0.082 -1.229 -3.390 -6.189 -7.372 -1.669 3.489" Properties=species:S:1:pos:R:3 comment="Gd3B2O6F3 PBE relaxed" dos_ef_per_ev_atom=0.000 total_magnetization_mub_per_atom=1.498 dft_energy_ev_per_atom=-9.83 vol_a3_per_atom=11.88 e_form_raw_ev_per_atom=-3.34 pbc="T T T"
O -2.922 1.922 -3.805
O -6.897 2.400 -2.044
O -7.024 -0.873 1.187
O -3.049 -1.351 -0.575
O -3.635 -2.491 -3.068
O -8.490 1.669 0.324
O -4.662 1.857 -1.429
O -5.284 -0.807 -1.189
O -1.897 1.070 -1.339
O -6.310 3.540 0.450
O -1.455 -0.620 -2.942
O -8.048 -0.021 -1.279
Gd -2.806 3.277 -1.505
Gd -1.978 0.195 0.880
Gd -6.738 4.244 2.690
Gd -7.139 -2.228 -1.113
Gd -3.735 -0.112 -2.840
Gd -6.210 1.161 0.222
F -5.537 0.882 -3.859
F -4.408 0.167 1.241
F -1.582 4.909 -0.451
F -8.364 -3.860 -2.167
F -6.232 1.944 2.659
F -2.484 2.496 0.911
B -5.542 2.613 -2.220
B -0.969 0.416 -2.127
B -4.404 -1.564 -0.398
B -8.976 0.634 -0.491